Record 1
Density functional theory data (GGA-PBE) for crystalline Hf2Os2Pb at its relaxed geometry.

DFT formation energy in eV/atom: -0.089
Space-group type: P4/mbm, No. 127
Fermi-level density of states in states/eV per atom: 0.95
Calculated total energy in eV per cell: -93.0

Cell: 7.797 7.797 3.203 Å, 90.00 90.00 90.00°
Sites, in units of the cell vectors:
1 Pb 0.000 0.000 0.000
2 Pb 0.500 0.500 0.000
3 Os 0.863 0.637 0.000
4 Os 0.637 0.137 0.000
5 Os 0.363 0.863 0.000
6 Os 0.137 0.363 0.000
7 Hf 0.653 0.847 0.500
8 Hf 0.347 0.153 0.500
9 Hf 0.847 0.347 0.500
10 Hf 0.153 0.653 0.500

Record 2
Density functional theory data (GGA-PBE) for crystalline HfOs2Pb2 at its relaxed geometry.

DFT formation energy in eV/atom: 0.502
Space-group type: P4/mbm, No. 127
Fermi-level density of states in states/eV per atom: 0.61
Calculated total energy in eV per cell: -74.6

Cell: 6.939 6.939 4.381 Å, 90.00 90.00 90.00°
Sites, in units of the cell vectors:
1 Hf 0.000 0.000 0.000
2 Hf 0.500 0.500 0.000
3 Os 0.625 0.125 0.000
4 Os 0.375 0.875 0.000
5 Os 0.875 0.625 0.000
6 Os 0.125 0.375 0.000
7 Pb 0.683 0.817 0.500
8 Pb 0.317 0.183 0.500
9 Pb 0.817 0.317 0.500
10 Pb 0.183 0.683 0.500

Record 3
Density functional theory data (GGA-PBE) for crystalline HfOsPb2 at its relaxed geometry.

DFT formation energy in eV/atom: 0.713
Space-group type: I-42d, No. 122
Fermi-level density of states in states/eV per atom: 0.59
Calculated total energy in eV per cell: -51.5

Cell: 8.041 8.041 6.385 Å, 50.97 50.97 90.00°
Sites, in units of the cell vectors:
1 Os 0.000 0.000 0.000
2 Os 0.750 0.250 0.500
3 Pb 0.875 0.912 0.750
4 Pb 0.088 0.625 0.250
5 Pb 0.662 0.125 0.250
6 Pb 0.375 0.338 0.750
7 Hf 0.500 0.500 0.000
8 Hf 0.250 0.750 0.500

Record 4
Density functional theory data (GGA-PBE) for crystalline HfOsPt2Pb at its relaxed geometry.

DFT formation energy in eV/atom: 1.539
Space-group type: P4/mmm, No. 123
Fermi-level density of states in states/eV per atom: 0.84
Calculated total energy in eV per cell: -29.3

Cell: 4.905 4.996 4.905 Å, 90.00 90.00 90.00°
Sites, in units of the cell vectors:
1 Pt 0.000 0.000 0.500
2 Pt 0.500 0.000 0.000
3 Hf 0.500 0.500 0.500
4 Pb 0.000 0.000 0.000
5 Os 0.000 0.500 0.000

Record 5
Density functional theory data (GGA-PBE) for crystalline Hf2SbOsPb at its relaxed geometry.

Formation energy (no corrections) in kJ per mole of atoms: 114.59
Space-group type: P4/mmm, No. 123
Fermi-level density of states in states/eV per atom: 1.53
Calculated total energy in eV per cell: -33.0

Cell: 5.271 4.831 5.271 Å, 90.00 90.00 90.00°
Sites, in units of the cell vectors:
1 Pb 0.500 0.500 0.500
2 Sb 0.000 0.000 0.000
3 Hf 0.000 0.000 0.500
4 Hf 0.500 0.000 0.000
5 Os 0.000 0.500 0.000

Record 6
Density functional theory data (GGA-PBE) for crystalline HfTaOs2Pb at its relaxed geometry.

DFT formation energy in eV/atom: 2.388
Space-group type: P4/mmm, No. 123
Fermi-level density of states in states/eV per atom: 1.10
Calculated total energy in eV per cell: -36.0

Cell: 4.868 5.016 4.868 Å, 90.00 90.00 90.00°
Sites, in units of the cell vectors:
1 Hf 0.500 0.500 0.500
2 Os 0.500 0.000 0.000
3 Os 0.000 0.000 0.500
4 Pb 0.000 0.000 0.000
5 Ta 0.000 0.500 0.000

Record 7
Density functional theory data (GGA-PBE) for crystalline Hf2OsPd at its relaxed geometry.

DFT formation energy in eV/atom: -0.664
Space-group type: P4/mmm, No. 123
Fermi-level density of states in states/eV per atom: 0.51
Calculated total energy in eV per cell: -39.0

Cell: 3.263 4.664 4.664 Å, 90.00 90.00 90.00°
Sites, in units of the cell vectors:
1 Hf 0.000 0.500 0.000
2 Hf 0.000 0.000 0.500
3 Pd 0.500 0.000 0.000
4 Os 0.500 0.500 0.500

Record 8
Density functional theory data (GGA-PBE) for crystalline HfOs2Pd at its relaxed geometry.

DFT formation energy in eV/atom: 0.314
Space-group type: I-42d, No. 122
Fermi-level density of states in states/eV per atom: 0.73
Calculated total energy in eV per cell: -72.7

Cell: 3.867 3.867 9.906 Å, 78.74 78.74 90.00°
Sites, in units of the cell vectors:
1 Os 0.181 0.625 0.250
2 Os 0.875 0.819 0.750
3 Os 0.375 0.431 0.750
4 Os 0.569 0.125 0.250
5 Hf 0.750 0.250 0.500
6 Hf 0.000 0.000 0.000
7 Pd 0.250 0.750 0.500
8 Pd 0.500 0.500 0.000